No. 1
A geometry-optimized Th3Ag2Au6 structure. Source: Alexandria via LeMat-Bulk, functional PBE.

Cell: 13.6970 13.6970 13.6970 Å, 161.59 161.59 26.15°
Last column: nearest neighbours and their distance in Å.
Fractional positions:
1 Th 0.0000 0.0000 0.0000  8 Ag 3.36, 8 Au 3.71
2 Th 0.1973 0.1973 0.0000  9 Au 3.04-3.15
3 Th 0.8027 0.8027 0.0000  9 Au 3.04-3.15
4 Ag 0.4512 0.4512 0.0000  1 Ag 2.61, 4 Au 2.77
5 Ag 0.5488 0.5488 0.0000  1 Ag 2.61, 4 Au 2.77
6 Au 0.1123 0.6123 0.5000  2 Ag 2.77, 6 Au 2.99-3.10
7 Au 0.3114 0.3114 0.0000  4 Au 2.99, 5 Th 3.04-3.11
8 Au 0.3877 0.8877 0.5000  2 Ag 2.77, 6 Au 2.99-3.10
9 Au 0.6123 0.1123 0.5000  2 Ag 2.77, 6 Au 2.99-3.10
10 Au 0.6886 0.6886 0.0000  4 Au 2.99, 5 Th 3.04-3.11
11 Au 0.8877 0.3877 0.5000  2 Ag 2.77, 6 Au 2.99-3.10

Results
The energy comes out at -4.677 eV/atom. The symmetry is I4/mmm. Its total magnetic moment is 0.000 μB per atom.



No. 2
A geometry-optimized Hg3IBr5 structure. Source: Alexandria via LeMat-Bulk, functional PBE.

Cell: 7.2519 10.6525 10.8194 Å, 65.40 87.35 75.92°
Last column: nearest neighbours and their distance in Å.
Fractional positions:
1 Hg 0.0000 0.0000 0.0000  2 Br 2.47
2 Hg 0.0956 0.3894 0.3838  2 Br 2.47-2.48
3 Hg 0.3031 0.0278 0.3078  2 Br 2.47-2.48
4 Hg 0.5000 0.5000 0.0000  2 I 2.64
5 Hg 0.6969 0.9722 0.6922  2 Br 2.47-2.48
6 Hg 0.9044 0.6106 0.6162  2 Br 2.47-2.48
7 I 0.3483 0.6365 0.1493  1 Hg 2.64
8 I 0.6517 0.3635 0.8507  1 Hg 2.64
9 Br 0.0360 0.6603 0.7934  1 Hg 2.47
10 Br 0.0878 0.8700 0.3391  1 Hg 2.48
11 Br 0.2494 0.1278 0.9806  1 Hg 2.47
12 Br 0.2631 0.3895 0.5787  1 Hg 2.48
13 Br 0.4600 0.8416 0.6895  1 Hg 2.47
14 Br 0.5400 0.1584 0.3105  1 Hg 2.47
15 Br 0.7369 0.6105 0.4213  1 Hg 2.48
16 Br 0.7506 0.8722 0.0194  1 Hg 2.47
17 Br 0.9122 0.1300 0.6609  1 Hg 2.48
18 Br 0.9640 0.3397 0.2066  1 Hg 2.47

Results
The energy comes out at -1.602 eV/atom. The formation energy from raw total energies comes out at -0.40 eV per atom. The symmetry is P-1. Its total magnetic moment is 0.000 μB per atom.



No. 3
A geometry-optimized CeCd3 structure. Source: Alexandria via LeMat-Bulk, functional PBE.

Cell: 3.1491 5.1153 6.1849 Å, 90.00 90.00 90.00°
Last column: nearest neighbours and their distance in Å.
Fractional positions:
1 Ce 0.0000 0.0000 0.0000  2 Ce 3.15, 10 Cd 3.26-3.49
2 Cd 0.0000 0.5000 0.6633  8 Cd 3.15-3.24, 2 Ce 3.30
3 Cd 0.5000 0.0000 0.4956  8 Cd 3.12-3.18, 4 Ce 3.45-3.49
4 Cd 0.5000 0.5000 0.2063  6 Cd 3.12-3.24, 4 Ce 3.26

Results
The energy comes out at -2.237 eV/atom. The symmetry is Pmm2. Its total magnetic moment is 0.321 μB per atom.



No. 4
A geometry-optimized Ti7Sn2Te2 structure. Source: Alexandria via LeMat-Bulk, functional PBE.

Cell: 6.3741 6.3741 5.9139 Å, 99.81 99.81 77.86°
Last column: nearest neighbours and their distance in Å.
Fractional positions:
1 Ti 0.0000 0.0000 0.0000  2 Te 2.86, 4 Ti 2.99
2 Ti 0.0517 0.4251 0.2856  3 Ti 2.69-2.99, 2 Te 2.74-2.77, 2 Sn 2.82-2.92
3 Ti 0.4251 0.0517 0.2856  3 Ti 2.69-2.99, 2 Te 2.74-2.77, 2 Sn 2.82-2.92
4 Ti 0.4905 0.4905 0.7198  1 Ti 2.65, 2 Te 2.66-2.82, 2 Sn 2.85
5 Ti 0.5095 0.5095 0.2802  1 Ti 2.65, 2 Te 2.66-2.82, 2 Sn 2.85
6 Ti 0.5749 0.9483 0.7144  3 Ti 2.69-2.99, 2 Te 2.74-2.77, 2 Sn 2.82-2.92
7 Ti 0.9483 0.5749 0.7144  3 Ti 2.69-2.99, 2 Te 2.74-2.77, 2 Sn 2.82-2.92
8 Sn 0.1856 0.8144 0.5000  6 Ti 2.82-2.92, 1 Sn 2.97
9 Sn 0.8144 0.1856 0.5000  6 Ti 2.82-2.92, 1 Sn 2.97
10 Te 0.2728 0.2728 0.9145  7 Ti 2.66-2.86
11 Te 0.7272 0.7272 0.0855  7 Ti 2.66-2.86

Results
The energy comes out at -6.404 eV/atom. The formation energy from raw total energies comes out at -0.08 eV per atom. The symmetry is C2/m. Its total magnetic moment is 0.289 μB per atom.



No. 5
A geometry-optimized Ac3TbSe6 structure. Source: Alexandria via LeMat-Bulk, functional PBE.

Cell: 7.3862 8.0542 13.0326 Å, 90.00 122.83 90.00°
Last column: nearest neighbours and their distance in Å.
Fractional positions:
1 Ac 0.0000 0.0000 0.0000  6 Se 3.04-3.08
2 Ac 0.0000 0.5000 0.5000  6 Se 3.04-3.08
3 Ac 0.2916 0.0926 0.7540  6 Se 3.12-3.35
4 Ac 0.2916 0.4074 0.2540  6 Se 3.12-3.35
5 Ac 0.7084 0.5926 0.7460  6 Se 3.12-3.35
6 Ac 0.7084 0.9074 0.2460  6 Se 3.12-3.35
7 Tb 0.5000 0.0000 0.5000  6 Se 2.83-2.91
8 Tb 0.5000 0.5000 0.0000  6 Se 2.83-2.91
9 Se 0.1115 0.0592 0.2618  1 Tb 2.91, 3 Ac 3.08-3.13
10 Se 0.1115 0.4408 0.7618  1 Tb 2.91, 3 Ac 3.08-3.13
11 Se 0.2669 0.6814 0.0771  1 Tb 2.83, 2 Ac 3.06-3.12
12 Se 0.2669 0.8186 0.5771  1 Tb 2.83, 2 Ac 3.06-3.12
13 Se 0.4067 0.1939 0.0755  1 Tb 2.87, 2 Ac 3.04-3.14
14 Se 0.4067 0.3061 0.5755  1 Tb 2.87, 2 Ac 3.04-3.14
15 Se 0.5933 0.6939 0.4245  1 Tb 2.87, 2 Ac 3.04-3.14
16 Se 0.5933 0.8061 0.9245  1 Tb 2.87, 2 Ac 3.04-3.14
17 Se 0.7331 0.1814 0.4229  1 Tb 2.83, 2 Ac 3.06-3.12
18 Se 0.7331 0.3186 0.9229  1 Tb 2.83, 2 Ac 3.06-3.12
19 Se 0.8885 0.5592 0.2382  1 Tb 2.91, 3 Ac 3.08-3.13
20 Se 0.8885 0.9408 0.7382  1 Tb 2.91, 3 Ac 3.08-3.13

Results
The energy comes out at -5.741 eV/atom. The formation energy from raw total energies comes out at -1.95 eV per atom. The symmetry is P2_1/c. Its total magnetic moment is 0.000 μB per atom. The distance to the lowest polymorph of the same formula comes out at 0.24 eV per formula unit.



No. 6
A geometry-optimized RbTiBr6 structure. Source: Alexandria via LeMat-Bulk, functional PBE.

Cell: 8.4713 8.4713 8.4713 Å, 60.00 60.00 60.00°
Last column: nearest neighbours and their distance in Å.
Fractional positions:
1 Rb 0.0000 0.0000 0.0000  6 Br 3.49
2 Ti 0.5000 0.5000 0.5000  6 Br 2.50
3 Br 0.2911 0.2911 0.7089  1 Ti 2.50
4 Br 0.2911 0.7089 0.2911  1 Ti 2.50
5 Br 0.2911 0.7089 0.7089  1 Ti 2.50
6 Br 0.7089 0.2911 0.2911  1 Ti 2.50
7 Br 0.7089 0.2911 0.7089  1 Ti 2.50
8 Br 0.7089 0.7089 0.2911  1 Ti 2.50

Results
The energy comes out at -3.396 eV/atom. The formation energy from raw total energies comes out at -1.03 eV per atom. The symmetry is Fm-3m. Its total magnetic moment is 0.146 μB per atom.



Copy entry 5 word for word.
A geometry-optimized Ac3TbSe6 structure. Source: Alexandria via LeMat-Bulk, functional PBE.

Cell: 7.3862 8.0542 13.0326 Å, 90.00 122.83 90.00°
Last column: nearest neighbours and their distance in Å.
Fractional positions:
1 Ac 0.0000 0.0000 0.0000  6 Se 3.04-3.08
2 Ac 0.0000 0.5000 0.5000  6 Se 3.04-3.08
3 Ac 0.2916 0.0926 0.7540  6 Se 3.12-3.35
4 Ac 0.2916 0.4074 0.2540  6 Se 3.12-3.35
5 Ac 0.7084 0.5926 0.7460  6 Se 3.12-3.35
6 Ac 0.7084 0.9074 0.2460  6 Se 3.12-3.35
7 Tb 0.5000 0.0000 0.5000  6 Se 2.83-2.91
8 Tb 0.5000 0.5000 0.0000  6 Se 2.83-2.91
9 Se 0.1115 0.0592 0.2618  1 Tb 2.91, 3 Ac 3.08-3.13
10 Se 0.1115 0.4408 0.7618  1 Tb 2.91, 3 Ac 3.08-3.13
11 Se 0.2669 0.6814 0.0771  1 Tb 2.83, 2 Ac 3.06-3.12
12 Se 0.2669 0.8186 0.5771  1 Tb 2.83, 2 Ac 3.06-3.12
13 Se 0.4067 0.1939 0.0755  1 Tb 2.87, 2 Ac 3.04-3.14
14 Se 0.4067 0.3061 0.5755  1 Tb 2.87, 2 Ac 3.04-3.14
15 Se 0.5933 0.6939 0.4245  1 Tb 2.87, 2 Ac 3.04-3.14
16 Se 0.5933 0.8061 0.9245  1 Tb 2.87, 2 Ac 3.04-3.14
17 Se 0.7331 0.1814 0.4229  1 Tb 2.83, 2 Ac 3.06-3.12
18 Se 0.7331 0.3186 0.9229  1 Tb 2.83, 2 Ac 3.06-3.12
19 Se 0.8885 0.5592 0.2382  1 Tb 2.91, 3 Ac 3.08-3.13
20 Se 0.8885 0.9408 0.7382  1 Tb 2.91, 3 Ac 3.08-3.13

Results
The energy comes out at -5.741 eV/atom. The formation energy from raw total energies comes out at -1.95 eV per atom. The symmetry is P2_1/c. Its total magnetic moment is 0.000 μB per atom. The distance to the lowest polymorph of the same formula comes out at 0.24 eV per formula unit.



The lowest energy belongs to which entry? Ti7Sn2Te2